(1)
The following is a PBE-GGA calculation of LuNiMoAs after structural relaxation, from the Open Quantum Materials Database.

E above lowest polymorph = 1.25 eV per formula unit
Total magnetization = 0.88 μB per atom

abc: 4.634 4.634 4.634
angles: 60.00 60.00 60.00
Fractional coordinates of all 4 atoms:
Lu 0.000 0.000 0.000
Ni 0.500 0.500 0.500
Mo 0.750 0.750 0.750
As 0.250 0.250 0.250

(2)
The following is a PBE-GGA calculation of LuNiMoAs after structural relaxation, from the Open Quantum Materials Database.

E above lowest polymorph = 0.00 eV per formula unit
Total magnetization = 0.00 μB per atom

abc: 4.487 4.487 4.487
angles: 60.00 60.00 60.00
Fractional coordinates of all 4 atoms:
Lu 0.000 0.000 0.000
Ni 0.750 0.750 0.750
Mo 0.250 0.250 0.250
As 0.500 0.500 0.500

(3)
The following is a PBE-GGA calculation of Lu4Nb2As3N3 after structural relaxation, from the Open Quantum Materials Database.

Total magnetization = 0.00 μB per atom
VASP energy = -7.634 eV per atom

abc: 5.952 5.952 13.027
angles: 102.98 102.98 60.69
Fractional coordinates of all 24 atoms:
Lu 0.033 0.201 0.101
Lu 0.133 0.299 0.399
Lu 0.201 0.033 0.601
Lu 0.299 0.133 0.899
Lu 0.701 0.867 0.101
Lu 0.799 0.967 0.399
Lu 0.867 0.701 0.601
Lu 0.967 0.799 0.899
Nb 0.370 0.529 0.085
Nb 0.471 0.630 0.415
Nb 0.529 0.370 0.585
Nb 0.630 0.471 0.915
As 0.117 0.883 0.250
As 0.281 0.419 0.750
As 0.419 0.281 0.250
As 0.581 0.719 0.750
As 0.719 0.581 0.250
As 0.883 0.117 0.750
N 0.000 0.500 0.000
N 0.160 0.671 0.500
N 0.329 0.840 0.000
N 0.500 0.000 0.500
N 0.671 0.160 0.000
N 0.840 0.329 0.500

(4)
The following is a PBE-GGA calculation of LuAsN2O after structural relaxation, from the Open Quantum Materials Database.

Total magnetization = 0.00 μB per atom
VASP energy = -7.080 eV per atom

abc: 5.127 5.358 5.559
angles: 63.80 67.49 61.57
Fractional coordinates of all 10 atoms:
Lu 0.000 0.000 0.000
Lu 0.281 0.278 0.203
As 0.520 0.421 0.569
As 0.793 0.789 0.641
N 0.195 0.612 0.397
N 0.441 0.074 0.822
N 0.651 0.461 0.820
N 0.865 0.172 0.394
O 0.022 0.651 0.897
O 0.628 0.856 0.350

(5)
The following is a PBE-GGA calculation of LuAsN2O after structural relaxation, from the Open Quantum Materials Database.

Total magnetization = 0.00 μB per atom
VASP energy = -7.035 eV per atom

abc: 5.345 7.741 5.168
angles: 90.00 90.00 90.00
Fractional coordinates of all 20 atoms:
Lu 0.067 0.250 0.022
Lu 0.433 0.750 0.522
Lu 0.567 0.250 0.478
Lu 0.933 0.750 0.978
As 0.000 0.000 0.500
As 0.000 0.500 0.500
As 0.500 0.000 0.000
As 0.500 0.500 0.000
N 0.199 0.553 0.805
N 0.199 0.947 0.805
N 0.301 0.053 0.305
N 0.301 0.447 0.305
N 0.699 0.553 0.695
N 0.699 0.947 0.695
N 0.801 0.053 0.195
N 0.801 0.447 0.195
O 0.028 0.750 0.391
O 0.472 0.250 0.891
O 0.528 0.750 0.109
O 0.972 0.250 0.609

(6)
The following is a PBE-GGA calculation of LuAsN2O after structural relaxation, from the Open Quantum Materials Database.

Total magnetization = 0.00 μB per atom
VASP energy = -7.108 eV per atom

abc: 7.167 5.673 5.539
angles: 90.00 90.00 90.00
Fractional coordinates of all 20 atoms:
Lu 0.000 0.181 0.000
Lu 0.000 0.819 0.500
Lu 0.500 0.194 0.896
Lu 0.500 0.806 0.396
As 0.247 0.333 0.440
As 0.247 0.667 0.940
As 0.753 0.333 0.440
As 0.753 0.667 0.940
N 0.000 0.191 0.411
N 0.000 0.809 0.911
N 0.206 0.390 0.781
N 0.206 0.610 0.281
N 0.500 0.367 0.534
N 0.500 0.633 0.034
N 0.794 0.390 0.781
N 0.794 0.610 0.281
O 0.302 0.103 0.200
O 0.302 0.897 0.700
O 0.698 0.103 0.200
O 0.698 0.897 0.700

(7)
The following is a PBE-GGA calculation of LuAsN2O after structural relaxation, from the Open Quantum Materials Database.

Total magnetization = 0.00 μB per atom
VASP energy = -7.064 eV per atom

abc: 7.751 7.258 10.839
angles: 90.00 134.33 90.00
Fractional coordinates of all 40 atoms:
Lu 0.061 0.250 0.035
Lu 0.061 0.250 0.535
Lu 0.436 0.726 0.476
Lu 0.436 0.774 0.976
Lu 0.564 0.226 0.024
Lu 0.564 0.274 0.524
Lu 0.939 0.750 0.465
Lu 0.939 0.750 0.965
As 0.038 0.003 0.281
As 0.038 0.497 0.781
As 0.483 0.503 0.765
As 0.483 0.997 0.265
As 0.517 0.003 0.735
As 0.517 0.497 0.235
As 0.962 0.503 0.219
As 0.962 0.997 0.719
N 0.048 0.744 0.721
N 0.048 0.756 0.221
N 0.204 0.553 0.009
N 0.204 0.947 0.509
N 0.294 0.070 0.304
N 0.294 0.430 0.804
N 0.454 0.242 0.173
N 0.454 0.258 0.673
N 0.546 0.742 0.327
N 0.546 0.758 0.827
N 0.706 0.570 0.196
N 0.706 0.930 0.696
N 0.796 0.053 0.491
N 0.796 0.447 0.991
N 0.952 0.244 0.779
N 0.952 0.256 0.279
O 0.216 0.555 0.526
O 0.216 0.945 0.026
O 0.282 0.042 0.807
O 0.282 0.458 0.307
O 0.718 0.542 0.693
O 0.718 0.958 0.193
O 0.784 0.055 0.974
O 0.784 0.445 0.474

(8)
The following is a PBE-GGA calculation of LuAsN2O after structural relaxation, from the Open Quantum Materials Database.

Total magnetization = 0.00 μB per atom
VASP energy = -7.171 eV per atom

abc: 6.746 8.184 8.201
angles: 81.72 89.04 88.66
Fractional coordinates of all 40 atoms:
Lu 0.000 0.000 0.000
Lu 0.001 0.071 0.624
Lu 0.002 0.614 0.095
Lu 0.484 0.544 0.107
Lu 0.491 0.970 0.014
Lu 0.510 0.103 0.610
Lu 0.517 0.531 0.522
Lu 0.999 0.458 0.529
As 0.236 0.233 0.283
As 0.243 0.710 0.779
As 0.245 0.833 0.384
As 0.260 0.294 0.863
As 0.741 0.777 0.761
As 0.754 0.239 0.240
As 0.759 0.361 0.846
As 0.765 0.839 0.341
N 0.008 0.818 0.816
N 0.033 0.834 0.247
N 0.187 0.673 0.554
N 0.227 0.161 0.088
N 0.230 0.509 0.913
N 0.272 0.038 0.444
N 0.476 0.788 0.690
N 0.482 0.763 0.298
N 0.517 0.309 0.327
N 0.526 0.279 0.933
N 0.728 0.034 0.180
N 0.773 0.563 0.713
N 0.773 0.911 0.536
N 0.812 0.399 0.070
N 0.967 0.237 0.377
N 0.993 0.253 0.809
O 0.206 0.469 0.271
O 0.281 0.066 0.807
O 0.285 0.769 0.010
O 0.301 0.343 0.624
O 0.700 0.731 0.002
O 0.716 0.303 0.614
O 0.719 0.005 0.816
O 0.793 0.603 0.353

(9)
The following is a PBE-GGA calculation of LuAsN2O after structural relaxation, from the Open Quantum Materials Database.

Total magnetization = 0.00 μB per atom
VASP energy = -7.035 eV per atom

abc: 5.337 7.742 5.176
angles: 90.00 90.00 90.00
Fractional coordinates of all 20 atoms:
Lu 0.067 0.250 0.022
Lu 0.433 0.750 0.522
Lu 0.567 0.250 0.478
Lu 0.933 0.750 0.978
As 0.000 0.000 0.500
As 0.000 0.500 0.500
As 0.500 0.000 0.000
As 0.500 0.500 0.000
N 0.199 0.553 0.804
N 0.199 0.947 0.804
N 0.301 0.053 0.304
N 0.301 0.447 0.304
N 0.699 0.553 0.696
N 0.699 0.947 0.696
N 0.801 0.053 0.196
N 0.801 0.447 0.196
O 0.028 0.750 0.391
O 0.472 0.250 0.891
O 0.528 0.750 0.109
O 0.972 0.250 0.609

(10)
The following is a PBE-GGA calculation of LuAsN2O after structural relaxation, from the Open Quantum Materials Database.

Total magnetization = 0.00 μB per atom
VASP energy = -6.715 eV per atom

abc: 5.376 5.376 13.328
angles: 90.00 90.00 120.00
Fractional coordinates of all 30 atoms:
Lu 0.000 0.000 0.250
Lu 0.000 0.000 0.750
Lu 0.333 0.667 0.125
Lu 0.333 0.667 0.375
Lu 0.667 0.333 0.625
Lu 0.667 0.333 0.875
As 0.000 0.000 0.000
As 0.000 0.000 0.500
As 0.333 0.667 0.636
As 0.333 0.667 0.864
As 0.667 0.333 0.136
As 0.667 0.333 0.364
N 0.153 0.306 0.595
N 0.153 0.306 0.905
N 0.153 0.847 0.595
N 0.153 0.847 0.905
N 0.306 0.153 0.095
N 0.306 0.153 0.405
N 0.694 0.847 0.595
N 0.694 0.847 0.905
N 0.847 0.153 0.095
N 0.847 0.153 0.405
N 0.847 0.694 0.095
N 0.847 0.694 0.405
O 0.005 0.503 0.250
O 0.497 0.503 0.250
O 0.497 0.995 0.250
O 0.503 0.005 0.750
O 0.503 0.497 0.750
O 0.995 0.497 0.750

(11)
The following is a PBE-GGA calculation of LuAsN2O after structural relaxation, from the Open Quantum Materials Database.

Total magnetization = 0.00 μB per atom
VASP energy = -6.971 eV per atom

abc: 6.243 6.243 11.087
angles: 90.00 90.00 120.00
Fractional coordinates of all 30 atoms:
Lu 0.000 0.000 0.000
Lu 0.000 0.000 0.500
Lu 0.333 0.667 0.468
Lu 0.333 0.667 0.968
Lu 0.667 0.333 0.468
Lu 0.667 0.333 0.968
As 0.000 0.334 0.232
As 0.000 0.666 0.732
As 0.334 0.000 0.232
As 0.334 0.334 0.732
As 0.666 0.000 0.732
As 0.666 0.666 0.232
N 0.000 0.311 0.390
N 0.000 0.356 0.076
N 0.000 0.644 0.576
N 0.000 0.689 0.890
N 0.311 0.000 0.390
N 0.311 0.311 0.890
N 0.356 0.000 0.076
N 0.356 0.356 0.576
N 0.644 0.000 0.576
N 0.644 0.644 0.076
N 0.689 0.000 0.890
N 0.689 0.689 0.390
O 0.000 0.000 0.208
O 0.000 0.000 0.708
O 0.333 0.667 0.253
O 0.333 0.667 0.753
O 0.667 0.333 0.253
O 0.667 0.333 0.753

(12)
The following is a PBE-GGA calculation of Lu4AsPbN2 after structural relaxation, from the Open Quantum Materials Database.

Total magnetization = 0.00 μB per atom
VASP energy = -6.639 eV per atom

abc: 3.504 3.504 13.996
angles: 90.00 90.00 120.00
Fractional coordinates of all 8 atoms:
Lu 0.000 0.000 0.140
Lu 0.000 0.000 0.860
Lu 0.333 0.667 0.321
Lu 0.333 0.667 0.679
As 0.333 0.667 0.000
Pb 0.000 0.000 0.500
N 0.667 0.333 0.234
N 0.667 0.333 0.766